This record from Alexandria describes NdTmPuTl after structural relaxation. The functional is PBE-GGA.

- Energy: -6.423 eV per atom

The structure in POSCAR format:
```
NdTmPuTl
1.0
7.7696 0.0000 0.0000
0.0000 7.7696 0.0000
0.0000 0.0000 7.7696
Nd Tm Pu Tl
4 4 4 4
Direct
0.0000 0.0000 0.0000 Nd
0.0000 0.5000 0.5000 Nd
0.5000 0.0000 0.5000 Nd
0.5000 0.5000 0.0000 Nd
0.2500 0.2500 0.2500 Tm
0.2500 0.7500 0.7500 Tm
0.7500 0.2500 0.7500 Tm
0.7500 0.7500 0.2500 Tm
0.0000 0.0000 0.5000 Pu
0.0000 0.5000 0.0000 Pu
0.5000 0.0000 0.0000 Pu
0.5000 0.5000 0.5000 Pu
0.2500 0.2500 0.7500 Tl
0.2500 0.7500 0.2500 Tl
0.7500 0.2500 0.2500 Tl
0.7500 0.7500 0.7500 Tl
```

This record from Alexandria describes NdPuTlZn after structural relaxation. The functional is PBE-GGA.

- Energy: -5.818 eV per atom

The structure in POSCAR format:
```
NdPuTlZn
1.0
7.5519 0.0000 0.0000
0.0000 7.5519 0.0000
0.0000 0.0000 7.5519
Nd Pu Tl Zn
4 4 4 4
Direct
0.0000 0.0000 0.0000 Nd
0.0000 0.5000 0.5000 Nd
0.5000 0.0000 0.5000 Nd
0.5000 0.5000 0.0000 Nd
0.0000 0.0000 0.5000 Pu
0.0000 0.5000 0.0000 Pu
0.5000 0.0000 0.0000 Pu
0.5000 0.5000 0.5000 Pu
0.2500 0.2500 0.7500 Tl
0.2500 0.7500 0.2500 Tl
0.7500 0.2500 0.2500 Tl
0.7500 0.7500 0.7500 Tl
0.2500 0.2500 0.2500 Zn
0.2500 0.7500 0.7500 Zn
0.7500 0.2500 0.7500 Zn
0.7500 0.7500 0.2500 Zn
```

This record from Alexandria describes NdTm14Pu after structural relaxation. The functional is PBE-GGA.

- Energy: -5.063 eV per atom

The structure in POSCAR format:
```
NdTm14Pu
1.0
6.9884 0.0000 0.0000
0.0000 6.9884 0.0000
0.0000 0.0000 9.8509
Nd Tm Pu
1 14 1
Direct
0.0000 0.0000 0.0000 Nd
0.0000 0.0000 0.5000 Tm
0.0000 0.5000 0.0000 Tm
0.0000 0.5000 0.5000 Tm
0.2525 0.2525 0.2502 Tm
0.2525 0.2525 0.7498 Tm
0.2525 0.7475 0.2502 Tm
0.2525 0.7475 0.7498 Tm
0.5000 0.0000 0.0000 Tm
0.5000 0.0000 0.5000 Tm
0.5000 0.5000 0.5000 Tm
0.7475 0.2525 0.2502 Tm
0.7475 0.2525 0.7498 Tm
0.7475 0.7475 0.2502 Tm
0.7475 0.7475 0.7498 Tm
0.5000 0.5000 0.0000 Pu
```

This record from Alexandria describes NdTmPu2 after structural relaxation. The functional is PBE-GGA.

- Energy: -9.283 eV per atom

The structure in POSCAR format:
```
NdTmPu2
1.0
3.4272 0.0000 0.0000
0.0000 3.4272 0.0000
0.0000 0.0000 10.1355
Nd Tm Pu
1 1 2
Direct
0.0000 0.0000 0.0000 Nd
0.0000 0.0000 0.5000 Tm
0.5000 0.5000 0.2570 Pu
0.5000 0.5000 0.7430 Pu
```

This record from Alexandria describes NdTmPu2 after structural relaxation. The functional is PBE-GGA.

- Energy: -9.275 eV per atom

The structure in POSCAR format:
```
NdTmPu2
1.0
4.8457 0.0000 0.0000
0.0000 4.8457 0.0000
0.0000 0.0000 5.0419
Nd Tm Pu
1 1 2
Direct
0.0000 0.0000 0.0000 Nd
0.5000 0.5000 0.0000 Tm
0.0000 0.5000 0.5000 Pu
0.5000 0.0000 0.5000 Pu
```

This record from Alexandria describes Nd5Tm12Pu after structural relaxation. The functional is PBE-GGA.

- Energy: -5.064 eV per atom

The structure in POSCAR format:
```
Nd5Tm12Pu
1.0
9.1815 -5.2899 0.0000
9.1815 5.2899 0.0000
-2.0364 0.0000 5.7755
Nd Tm Pu
5 12 1
Direct
0.0000 0.0000 0.0000 Nd
0.1669 0.1669 0.5018 Nd
0.3353 0.3353 0.0097 Nd
0.6647 0.6647 0.9903 Nd
0.8331 0.8331 0.4982 Nd
0.0014 0.6647 0.9982 Tm
0.1689 0.5019 0.5021 Tm
0.1726 0.8274 0.5000 Tm
0.3353 0.6647 0.0000 Tm
0.3353 0.9986 0.0018 Tm
0.4981 0.8311 0.4979 Tm
0.5019 0.1689 0.5021 Tm
0.6647 0.0014 0.9982 Tm
0.6647 0.3353 0.0000 Tm
0.8274 0.1726 0.5000 Tm
0.8311 0.4981 0.4979 Tm
0.9986 0.3353 0.0018 Tm
0.5000 0.5000 0.5000 Pu
```

This record from Alexandria describes Nd3Tm4Pu after structural relaxation. The functional is PBE-GGA.

- Energy: -5.657 eV per atom

The structure in POSCAR format:
```
Nd3Tm4Pu
1.0
3.4227 0.0000 0.0000
0.0000 11.5938 0.0000
0.0000 0.0000 12.8603
Nd Tm Pu
6 8 2
Direct
0.0000 0.0000 0.0000 Nd
0.0000 0.5000 0.2362 Nd
0.0000 0.5000 0.7638 Nd
0.5000 0.0000 0.2638 Nd
0.5000 0.0000 0.7362 Nd
0.5000 0.5000 0.5000 Nd
0.0000 0.2475 0.3673 Tm
0.0000 0.2475 0.6327 Tm
0.0000 0.7525 0.3673 Tm
0.0000 0.7525 0.6327 Tm
0.5000 0.2525 0.1327 Tm
0.5000 0.2525 0.8673 Tm
0.5000 0.7475 0.1327 Tm
0.5000 0.7475 0.8673 Tm
0.0000 0.0000 0.5000 Pu
0.5000 0.5000 0.0000 Pu
```

This record from Alexandria describes NdTmPu after structural relaxation. The functional is PBE-GGA.

- Energy: -7.719 eV per atom

The structure in POSCAR format:
```
NdTmPu
1.0
3.5454 0.0000 0.0000
-1.7727 3.0704 0.0000
0.0000 0.0000 8.5693
Nd Tm Pu
1 1 1
Direct
0.0000 0.0000 0.0000 Nd
0.3333 0.6667 0.6599 Tm
0.6667 0.3333 0.3368 Pu
```

This record from Alexandria describes Nd12Tm6Pu after structural relaxation. The functional is PBE-GGA.

- Energy: -5.140 eV per atom

The structure in POSCAR format:
```
Nd12Tm6Pu
1.0
7.8584 4.5370 2.9452
-7.8584 4.5370 2.9452
0.0000 -9.0740 2.9452
Nd Tm Pu
12 6 1
Direct
0.0585 0.3735 0.5817 Nd
0.1035 0.7400 0.1554 Nd
0.1554 0.1035 0.7400 Nd
0.2600 0.8446 0.8965 Nd
0.3735 0.5817 0.0585 Nd
0.4183 0.9415 0.6265 Nd
0.5817 0.0585 0.3735 Nd
0.6265 0.4183 0.9415 Nd
0.7400 0.1554 0.1035 Nd
0.8446 0.8965 0.2600 Nd
0.8965 0.2600 0.8446 Nd
0.9415 0.6265 0.4183 Nd
0.2138 0.4689 0.3162 Tm
0.3162 0.2138 0.4689 Tm
0.4689 0.3162 0.2138 Tm
0.5311 0.6838 0.7862 Tm
0.6838 0.7862 0.5311 Tm
0.7862 0.5311 0.6838 Tm
0.0000 0.0000 0.0000 Pu
```

This record from Alexandria describes Nd4Tm5Pu after structural relaxation. The functional is PBE-GGA.

- Energy: -5.491 eV per atom

The structure in POSCAR format:
```
Nd4Tm5Pu
1.0
8.4490 -1.7609 0.0000
8.4490 1.7609 0.0000
-3.7045 0.0000 10.7286
Nd Tm Pu
4 5 1
Direct
0.0887 0.0887 0.2975 Nd
0.3943 0.3943 0.2065 Nd
0.6057 0.6057 0.7935 Nd
0.9113 0.9113 0.7025 Nd
0.1910 0.1910 0.0801 Tm
0.2109 0.2109 0.6163 Tm
0.5000 0.5000 0.0000 Tm
0.7891 0.7891 0.3837 Tm
0.8090 0.8090 0.9199 Tm
0.5000 0.5000 0.5000 Pu
```

This record from Alexandria describes NdTmPu after structural relaxation. The functional is PBE-GGA.

- Energy: -7.588 eV per atom

The structure in POSCAR format:
```
NdTmPu
1.0
12.1840 0.0000 0.0000
0.0000 3.5075 0.0000
0.0000 0.0000 8.0486
Nd Tm Pu
4 4 4
Direct
0.1913 0.2500 0.2177 Nd
0.3087 0.7500 0.7177 Nd
0.6913 0.2500 0.2823 Nd
0.8087 0.7500 0.7823 Nd
0.0719 0.2500 0.8459 Tm
0.4281 0.7500 0.3459 Tm
0.5719 0.2500 0.6541 Tm
0.9281 0.7500 0.1541 Tm
0.0595 0.7500 0.5164 Pu
0.4405 0.2500 0.0164 Pu
0.5595 0.7500 0.9836 Pu
0.9405 0.2500 0.4836 Pu
```

This record from Alexandria describes Nd8Tm3Pu after structural relaxation. The functional is PBE-GGA.

- Energy: -5.443 eV per atom

The structure in POSCAR format:
```
Nd8Tm3Pu
1.0
5.0697 -3.6293 0.0000
5.0697 3.6293 0.0000
-0.0576 0.0000 10.8065
Nd Tm Pu
8 3 1
Direct
0.0005 0.0005 0.1643 Nd
0.9995 0.9995 0.8357 Nd
0.0003 0.5001 0.3378 Nd
0.9997 0.4999 0.6622 Nd
0.5001 0.0003 0.3378 Nd
0.4999 0.9997 0.6622 Nd
0.5004 0.5004 0.1666 Nd
0.4996 0.4996 0.8334 Nd
0.0000 0.0000 0.5000 Tm
0.0000 0.5000 0.0000 Tm
0.5000 0.0000 0.0000 Tm
0.5000 0.5000 0.5000 Pu
```

This record from Alexandria describes Nd10Tm4Pu after structural relaxation. The functional is PBE-GGA.

- Energy: -4.975 eV per atom

The structure in POSCAR format:
```
Nd10Tm4Pu
1.0
-4.9246 4.9246 5.3011
4.9246 -4.9246 5.3011
4.9246 4.9246 -5.3011
Nd Tm Pu
10 4 1
Direct
0.0424 0.3710 0.0987 Nd
0.0562 0.9576 0.3286 Nd
0.2500 0.7500 0.5000 Nd
0.2723 0.9438 0.9013 Nd
0.3710 0.2723 0.3286 Nd
0.6290 0.7277 0.6714 Nd
0.7277 0.0562 0.0987 Nd
0.7500 0.2500 0.5000 Nd
0.9438 0.0424 0.6714 Nd
0.9576 0.6290 0.9013 Nd
0.1721 0.4395 0.6116 Tm
0.4395 0.8279 0.2674 Tm
0.5605 0.1721 0.7326 Tm
0.8279 0.5605 0.3884 Tm
0.5000 0.5000 0.0000 Pu
```

This record from Alexandria describes NdTm6Pu after structural relaxation. The functional is PBE-GGA.

- Energy: -5.684 eV per atom

The structure in POSCAR format:
```
NdTm6Pu
1.0
5.6068 0.0000 0.0000
0.0000 7.0776 0.0000
0.0000 0.0000 12.2729
Nd Tm Pu
2 12 2
Direct
0.0000 0.0000 0.0000 Nd
0.0000 0.5000 0.5000 Nd
0.0000 0.0000 0.5034 Tm
0.0000 0.2460 0.7535 Tm
0.0000 0.2540 0.2535 Tm
0.0000 0.5000 0.0034 Tm
0.0000 0.7460 0.2535 Tm
0.0000 0.7540 0.7535 Tm
0.5000 0.0000 0.3365 Tm
0.5000 0.2492 0.5884 Tm
0.5000 0.2508 0.0884 Tm
0.5000 0.5000 0.8365 Tm
0.5000 0.7492 0.0884 Tm
0.5000 0.7508 0.5884 Tm
0.5000 0.0000 0.8360 Pu
0.5000 0.5000 0.3360 Pu
```

This record from Alexandria describes Nd6Tm3Pu after structural relaxation. The functional is PBE-GGA.

- Energy: -5.412 eV per atom

The structure in POSCAR format:
```
Nd6Tm3Pu
1.0
6.1352 0.0000 0.0000
0.0000 9.3970 0.0000
-5.8521 0.0000 11.5564
Nd Tm Pu
12 6 2
Direct
0.0675 0.1623 0.0738 Nd
0.0675 0.3377 0.5738 Nd
0.3746 0.0169 0.7434 Nd
0.3746 0.4831 0.2434 Nd
0.4156 0.1596 0.4287 Nd
0.4156 0.3404 0.9287 Nd
0.5844 0.6596 0.0713 Nd
0.5844 0.8404 0.5713 Nd
0.6254 0.5169 0.7566 Nd
0.6254 0.9831 0.2566 Nd
0.9325 0.6623 0.4262 Nd
0.9325 0.8377 0.9262 Nd
0.1318 0.6668 0.7481 Tm
0.1318 0.8332 0.2481 Tm
0.5000 0.0000 0.0000 Tm
0.5000 0.5000 0.5000 Tm
0.8682 0.1668 0.7519 Tm
0.8682 0.3332 0.2519 Tm
0.0000 0.0000 0.5000 Pu
0.0000 0.5000 0.0000 Pu
```

This record from Alexandria describes Nd12Tm3Pu after structural relaxation. The functional is PBE-GGA.

- Energy: -5.266 eV per atom

The structure in POSCAR format:
```
Nd12Tm3Pu
1.0
5.1361 0.0000 0.0000
0.0000 5.1361 0.0000
0.0000 0.0000 20.4800
Nd Tm Pu
12 3 1
Direct
0.0000 0.0000 0.0000 Nd
0.0000 0.0000 0.2501 Nd
0.0000 0.0000 0.5000 Nd
0.0000 0.0000 0.7499 Nd
0.0000 0.5000 0.1233 Nd
0.0000 0.5000 0.3745 Nd
0.0000 0.5000 0.6255 Nd
0.0000 0.5000 0.8767 Nd
0.5000 0.0000 0.1233 Nd
0.5000 0.0000 0.3745 Nd
0.5000 0.0000 0.6255 Nd
0.5000 0.0000 0.8767 Nd
0.5000 0.5000 0.2498 Tm
0.5000 0.5000 0.5000 Tm
0.5000 0.5000 0.7502 Tm
0.5000 0.5000 0.0000 Pu
```

This record from Alexandria describes Nd6Tm8Pu after structural relaxation. The functional is PBE-GGA.

- Energy: -5.131 eV per atom

The structure in POSCAR format:
```
Nd6Tm8Pu
1.0
4.5061 2.6016 6.8697
-4.5061 2.6016 6.8697
0.0000 -5.2032 6.8697
Nd Tm Pu
6 8 1
Direct
0.0449 0.6045 0.7233 Nd
0.2767 0.9551 0.3955 Nd
0.3955 0.2767 0.9551 Nd
0.6045 0.7233 0.0449 Nd
0.7233 0.0449 0.6045 Nd
0.9551 0.3955 0.2767 Nd
0.0762 0.0762 0.0762 Tm
0.2124 0.6115 0.2562 Tm
0.2562 0.2124 0.6115 Tm
0.3885 0.7438 0.7876 Tm
0.6115 0.2562 0.2124 Tm
0.7438 0.7876 0.3885 Tm
0.7876 0.3885 0.7438 Tm
0.9238 0.9238 0.9238 Tm
0.5000 0.5000 0.5000 Pu
```

This record from Alexandria describes Nd8Tm6Pu after structural relaxation. The functional is PBE-GGA.

- Energy: -5.149 eV per atom

The structure in POSCAR format:
```
Nd8Tm6Pu
1.0
9.8827 0.0000 0.0000
-4.9414 8.5587 0.0000
0.0000 0.0000 5.8742
Nd Tm Pu
8 6 1
Direct
0.0506 0.7836 0.2605 Nd
0.2164 0.2670 0.2605 Nd
0.2670 0.0506 0.7395 Nd
0.3333 0.6667 0.2654 Nd
0.6667 0.3333 0.7346 Nd
0.7330 0.9494 0.2605 Nd
0.7836 0.7330 0.7395 Nd
0.9494 0.2164 0.7395 Nd
0.0945 0.6176 0.7528 Tm
0.3824 0.4769 0.7528 Tm
0.4769 0.0945 0.2472 Tm
0.5231 0.9055 0.7528 Tm
0.6176 0.5231 0.2472 Tm
0.9055 0.3824 0.2472 Tm
0.0000 0.0000 0.0000 Pu
```

This record from Alexandria describes Nd6Tm2Pu after structural relaxation. The functional is PBE-GGA.

- Energy: -5.579 eV per atom

The structure in POSCAR format:
```
Nd6Tm2Pu
1.0
5.0856 -3.5700 0.0000
5.0856 3.5700 0.0000
-2.2086 0.0000 8.3581
Nd Tm Pu
6 2 1
Direct
0.1750 0.1750 0.5725 Nd
0.1970 0.7080 0.7973 Nd
0.2920 0.8030 0.2027 Nd
0.7080 0.1970 0.7973 Nd
0.8030 0.2920 0.2027 Nd
0.8250 0.8250 0.4275 Nd
0.2662 0.2662 0.0328 Tm
0.7338 0.7338 0.9672 Tm
0.5000 0.5000 0.5000 Pu
```

This record from Alexandria describes Nd12Tm5Pu after structural relaxation. The functional is PBE-GGA.

- Energy: -5.172 eV per atom

The structure in POSCAR format:
```
Nd12Tm5Pu
1.0
10.8275 0.0000 0.0000
0.0000 5.1280 0.0000
-0.0769 0.0000 10.8382
Nd Tm Pu
12 5 1
Direct
0.0013 0.0000 0.1687 Nd
0.1640 0.5000 0.6640 Nd
0.1714 0.5000 0.0029 Nd
0.3312 0.0000 0.4988 Nd
0.3376 0.0000 0.8376 Nd
0.4970 0.5000 0.3286 Nd
0.5030 0.5000 0.6714 Nd
0.6624 0.0000 0.1624 Nd
0.6688 0.0000 0.5012 Nd
0.8286 0.5000 0.9971 Nd
0.8360 0.5000 0.3360 Nd
0.9987 0.0000 0.8313 Nd
0.0000 0.0000 0.5000 Tm
0.1660 0.5000 0.3340 Tm
0.3341 0.0000 0.1659 Tm
0.6659 0.0000 0.8341 Tm
0.8340 0.5000 0.6660 Tm
0.5000 0.5000 0.0000 Pu
```